(1)
VASP calculation (PBE) on a relaxed structure of Pm3Nd4Dy8.

Results
The density of states at the Fermi level comes out at 2.00 states/eV/atom. As for the space group: C2/m.

Lattice parameters (Å, degrees): 6.815 9.341 9.341 87.25 111.43 111.43
Fractional positions:
Nd1 0.000 0.000 0.500
Nd2 0.000 0.000 0.000
Dy1 0.000 0.640 0.360
Dy2 0.000 0.360 0.640
Dy3 0.528 0.268 0.268
Dy4 0.006 0.269 0.269
Pm1 0.500 0.500 0.500
Dy5 0.500 0.257 0.743
Dy6 0.994 0.731 0.731
Nd3 0.500 0.000 0.000
Dy7 0.472 0.732 0.732
Nd4 0.000 0.500 0.000
Pm2 0.500 0.000 0.500
Pm3 0.500 0.500 0.000
Dy8 0.500 0.743 0.257

(2)
VASP calculation (PBE) on a relaxed structure of TaGa2Rh.

Results
The density of states at the Fermi level comes out at 0.46 states/eV/atom. As for the space group: P4/mmm.

Lattice parameters (Å, degrees): 3.896 3.990 3.990 90.00 90.00 90.00
Fractional positions:
Ta1 0.500 0.500 0.500
Ga1 0.000 0.000 0.500
Rh1 0.500 0.000 0.000
Ga2 0.000 0.500 0.000

What are the total DFT energy (no corrections) values for these records? In order: -4.32; -6.62 eV per atom.
What are the magnetization values for these records? In order: 0.000; 0.000 μB per atom.
What are the calculated formation energy values for these records? In order: 356; -301 meV per atom.